[1]
Entry from Alexandria: Mn4CrH5 after structural relaxation (PBE-GGA).

a = 3.710 Å, b = 4.540 Å, c = 4.540 Å
α = 80.39°, β = 65.88°, γ = 65.88°
Last column: magnetic moment on the atom in μB.
Element x y z (fractional)
H (0.305, 0.798, 0.594)  0.00
H (0.103, 0.593, 0.202)  0.00
Cr (0.001, 0.000, 0.000)  -0.66
Mn (0.400, 0.402, 0.800)  0.26
Mn (0.602, 0.598, 0.200)  0.26
H (0.899, 0.407, 0.798)  0.00
Mn (0.802, 0.800, 0.598)  0.26
Mn (0.200, 0.200, 0.402)  0.26
H (0.501, 0.000, 0.000)  0.00
H (0.697, 0.202, 0.406)  0.00

Results
DFT total energy in eV per atom: -6.3439
Space-group type: I4/m (87)

[2]
Entry from Alexandria: MnCr2H4 after structural relaxation (PBE-GGA).

a = 5.260 Å, b = 5.256 Å, c = 5.265 Å
α = 120.11°, β = 120.13°, γ = 89.79°
Last column: magnetic moment on the atom in μB.
Element x y z (fractional)
H (0.387, 0.612, 0.776)  0.00
H (0.861, 0.586, 0.724)  0.00
Cr (0.625, 0.375, 0.750)  -1.16
H (0.414, 0.139, 0.276)  0.00
H (0.863, 0.138, 0.724)  0.00
H (0.388, 0.613, 0.224)  0.00
Cr (0.125, 0.375, 0.750)  -1.13
Mn (0.250, 0.749, 0.500)  3.42
Mn (0.000, 0.001, 0.000)  3.42
H (0.389, 0.164, 0.776)  0.00
Cr (0.625, 0.875, 0.250)  -1.10
H (0.862, 0.137, 0.276)  0.00
H (0.836, 0.611, 0.224)  0.00
Cr (0.625, 0.375, 0.250)  -1.14

Results
DFT total energy in eV per atom: -5.8689
Space-group type: C2/c (15)

[3]
Entry from Alexandria: Mn2CrH3 after structural relaxation (PBE-GGA).

a = 3.775 Å, b = 5.295 Å, c = 4.623 Å
α = 106.65°, β = 114.10°, γ = 90.00°
Last column: magnetic moment on the atom in μB.
Element x y z (fractional)
H (0.828, 0.914, 0.656)  -0.01
H (0.828, 0.414, 0.656)  -0.01
H (0.172, 0.586, 0.344)  -0.01
Mn (0.664, 0.582, 0.329)  1.62
H (0.172, 0.086, 0.344)  -0.01
Mn (0.336, 0.918, 0.671)  1.62
Mn (0.664, 0.082, 0.329)  1.62
Mn (0.336, 0.418, 0.671)  1.62
H (0.500, 0.750, 0.000)  -0.01
Cr (0.000, 0.250, 0.000)  -1.17
H (0.500, 0.250, 0.000)  -0.01
Cr (0.000, 0.750, 0.000)  -1.17

Results
DFT total energy in eV per atom: -6.3727
Space-group type: Immm (71)

| no. | density of states at the Fermi level (states/eV/f.u.) |
| --- | --- |
| 1 | 6.59 |
| 2 | 4.57 |
| 3 | 4.27 |